w:
This record from Alexandria via LeMat-Bulk describes a geometry-optimized PuHfRh structure. The functional is PBE-GGA.

It has space group C2/m (No. 12), with a = 10.794 Å, b = 4.593 Å, c = 5.807 Å, α = 90.00°, β = 120.77° and γ = 90.00°. The inequivalent atoms are Pu at (0.026, 0.000, 0.288), Hf at (0.175, 0.500, 0.094) and Rh at (0.194, 0.500, 0.645).

x:
This record from Alexandria via LeMat-Bulk describes a geometry-optimized PuHfRh structure. The functional is PBE-GGA.

It has space group P3m1 (No. 156), with a = 4.7133 Å, b = 4.7133 Å, c = 3.0675 Å, α = 90.00°, β = 90.00° and γ = 120.00°. The inequivalent atoms are Pu at (0.0000, 0.0000, 0.0000), Hf at (0.6667, 0.3333, 0.3752) and Rh at (0.3333, 0.6667, 0.6941).

Most favorable first, least favorable last: w, x

w:
This record from Alexandria via LeMat-Bulk describes a geometry-optimized PuHf2Ru structure. The functional is PBE-GGA.

It has space group P4/mmm (No. 123), with a = 3.216 Å, b = 3.216 Å, c = 7.757 Å, α = 90.00°, β = 90.00° and γ = 90.00°. The inequivalent atoms are Pu at (0.000, 0.000, 0.000), Hf at (0.500, 0.500, 0.290) and Ru at (0.000, 0.000, 0.500).

x:
This record from Alexandria via LeMat-Bulk describes a geometry-optimized PuHf2Ru structure. The functional is PBE-GGA.

It has space group P4/mmm (No. 123), with a = 4.900 Å, b = 4.900 Å, c = 3.229 Å, α = 90.00°, β = 90.00° and γ = 90.00°. The inequivalent atoms are Pu at (0.000, 0.000, 0.000), Hf at (0.000, 0.500, 0.500) and Ru at (0.500, 0.500, 0.000).

Most favorable first, least favorable last: w, x

w:
This record from Alexandria via LeMat-Bulk describes a geometry-optimized PuHfSb2 structure. The functional is PBE-GGA.

It has space group P2/m (No. 10), with a = 3.249 Å, b = 3.899 Å, c = 7.832 Å, α = 90.00°, β = 96.69° and γ = 90.00°. The inequivalent atoms are Pu at (0.000, 0.000, 0.000), Hf at (0.000, 0.000, 0.500) and Sb at (0.469, 0.500, 0.732).

x:
This record from Alexandria via LeMat-Bulk describes a geometry-optimized PuHfSb2 structure. The functional is PBE-GGA.

It has space group R3m (No. 160, hexagonal axes), with a = 4.1070 Å, b = 4.1070 Å, c = 22.6547 Å, α = 90.00°, β = 90.00° and γ = 120.00°. The inequivalent atoms are Pu at (0.0000, 0.0000, 0.0000), Hf at (0.0000, 0.0000, 0.1698), Sb at (0.0000, 0.0000, 0.5766) and Sb at (0.0000, 0.0000, 0.7601).

Most favorable first, least favorable last: x, w

w:
This record from Alexandria via LeMat-Bulk describes a geometry-optimized PuHfSb2 structure. The functional is PBE-GGA.

It has space group R-3m (No. 166, hexagonal axes), with a = 4.2370 Å, b = 4.2370 Å, c = 21.1454 Å, α = 90.00°, β = 90.00° and γ = 120.00°. The inequivalent atoms are Pu at (0.0000, 0.0000, 0.0000), Hf at (0.0000, 0.0000, 0.5000) and Sb at (0.0000, 0.0000, 0.2432).

x:
This record from Alexandria via LeMat-Bulk describes a geometry-optimized PuHfSb2 structure. The functional is PBE-GGA.

It has space group P4/mmm (No. 123), with a = 3.529 Å, b = 3.529 Å, c = 7.840 Å, α = 90.00°, β = 90.00° and γ = 90.00°. The inequivalent atoms are Pu at (0.000, 0.000, 0.000), Hf at (0.000, 0.000, 0.500) and Sb at (0.500, 0.500, 0.273).

Most favorable first, least favorable last: w, x